No. 1
Density functional theory data (PBE) for a relaxed SrMgIN2 crystal.

Computed properties:
Energy = -0.1416 hartree per atom
Energy relative to the elements, uncorrected = 2.21 eV per formula unit
Crystal system = tetragonal

a = 4.465 Å, b = 4.465 Å, c = 5.496 Å
α = 90.00°, β = 90.00°, γ = 90.00°
Space group P4/mmm (No. 123)
Asymmetric unit:
1 Sr 0.000 0.000 0.000 x1
2 Mg 0.500 0.500 0.500 x1
3 I 0.500 0.500 0.000 x1
4 N 0.000 0.500 0.500 x2

=====

No. 2
Density functional theory data (PBE) for a relaxed SrMgIN2 crystal.

Computed properties:
Energy = -0.1198 hartree per atom
Energy relative to the elements, uncorrected = 5.18 eV per formula unit
Crystal system = tetragonal

a = 4.857 Å, b = 4.857 Å, c = 6.610 Å
α = 90.00°, β = 90.00°, γ = 90.00°
Space group P4/mmm (No. 123)
Asymmetric unit:
1 Sr 0.000 0.000 0.000 x1
2 Mg 0.500 0.500 0.500 x1
3 I 0.000 0.000 0.500 x1
4 N 0.000 0.500 0.000 x2

=====

No. 3
Density functional theory data (PBE) for a relaxed SrMgI2N crystal.

Computed properties:
Energy = -0.1048 hartree per atom
Energy relative to the elements, uncorrected = 0.45 eV per formula unit
Crystal system = tetragonal

a = 6.491 Å, b = 6.491 Å, c = 5.047 Å
α = 90.00°, β = 90.00°, γ = 90.00°
Space group P4/mmm (No. 123)
Asymmetric unit:
1 Sr 0.000 0.000 0.000 x1
2 Mg 0.500 0.500 0.500 x1
3 I 0.000 0.500 0.000 x2
4 N 0.000 0.000 0.500 x1

=====

No. 4
Density functional theory data (PBE) for a relaxed SrMgI2N crystal.

Computed properties:
Energy = -0.1234 hartree per atom
Energy relative to the elements, uncorrected = -2.08 eV per formula unit
Crystal system = tetragonal

a = 5.913 Å, b = 5.913 Å, c = 4.079 Å
α = 90.00°, β = 90.00°, γ = 90.00°
Space group P4/mmm (No. 123)
Asymmetric unit:
1 Sr 0.000 0.000 0.000 x1
2 Mg 0.500 0.500 0.500 x1
3 I 0.000 0.500 0.500 x2
4 N 0.500 0.500 0.000 x1

=====

No. 5
Density functional theory data (PBE) for a relaxed MgTaIN2 crystal.

Computed properties:
Energy = -0.1689 hartree per atom
Energy relative to the elements, uncorrected = 8.67 eV per formula unit
Crystal system = tetragonal

a = 4.043 Å, b = 4.043 Å, c = 5.182 Å
α = 90.00°, β = 90.00°, γ = 90.00°
Space group P4/mmm (No. 123)
Asymmetric unit:
1 Mg 0.000 0.000 0.000 x1
2 Ta 0.500 0.500 0.500 x1
3 I 0.000 0.000 0.500 x1
4 N 0.000 0.500 0.000 x2

=====

No. 6
Density functional theory data (PBE) for a relaxed MgTaIN2 crystal.

Computed properties:
Energy = -0.2255 hartree per atom
Energy relative to the elements, uncorrected = 0.97 eV per formula unit
Crystal system = tetragonal

a = 4.080 Å, b = 4.080 Å, c = 5.827 Å
α = 90.00°, β = 90.00°, γ = 90.00°
Space group P4/mmm (No. 123)
Asymmetric unit:
1 Mg 0.000 0.000 0.000 x1
2 Ta 0.500 0.500 0.500 x1
3 I 0.500 0.500 0.000 x1
4 N 0.000 0.500 0.500 x2

=====

No. 7
Density functional theory data (PBE) for a relaxed MgTaI2N crystal.

Computed properties:
Energy = -0.1390 hartree per atom
Energy relative to the elements, uncorrected = 5.96 eV per formula unit
Crystal system = tetragonal

a = 5.531 Å, b = 5.531 Å, c = 3.758 Å
α = 90.00°, β = 90.00°, γ = 90.00°
Space group P4/mmm (No. 123)
Asymmetric unit:
1 Mg 0.000 0.000 0.000 x1
2 Ta 0.500 0.500 0.500 x1
3 I 0.000 0.500 0.000 x2
4 N 0.000 0.000 0.500 x1

=====

No. 8
Density functional theory data (PBE) for a relaxed MgTaI2N crystal.

Computed properties:
Energy = -0.1818 hartree per atom
Energy relative to the elements, uncorrected = 0.13 eV per formula unit
Crystal system = tetragonal

a = 5.727 Å, b = 5.727 Å, c = 3.942 Å
α = 90.00°, β = 90.00°, γ = 90.00°
Space group P4/mmm (No. 123)
Asymmetric unit:
1 Mg 0.000 0.000 0.000 x1
2 Ta 0.500 0.500 0.500 x1
3 I 0.000 0.500 0.500 x2
4 N 0.500 0.500 0.000 x1